# 1
VASP calculation (PBE) on an optimized crystal structure of Be4ZnRh.

Cell lengths 4.337, 4.337, 4.337 Å; angles 60.00, 60.00, 60.00 degrees
Sites, in units of the cell vectors:
Be (0.124, 0.124, 0.124)
Be (0.124, 0.124, 0.627)
Be (0.124, 0.627, 0.124)
Be (0.627, 0.124, 0.124)
Zn (0.500, 0.500, 0.500)
Rh (0.750, 0.750, 0.750)

## Properties
Volume (Å³/cell): 58
Formation energy (eV per atom): -0.3571
Crystal system: cubic



# 2
VASP calculation (PBE) on an optimized crystal structure of Be3ZnRh.

Cell lengths 3.969, 3.969, 3.969 Å; angles 90.00, 90.00, 90.00 degrees
Sites, in units of the cell vectors:
Be (0.000, 0.000, 0.500)
Be (0.000, 0.500, 0.000)
Be (0.500, 0.000, 0.000)
Zn (0.000, 0.000, 0.000)
Rh (0.500, 0.500, 0.500)

## Properties
Energy relative to the lowest polymorph listed for this composition (kJ/mol of atoms): 31.78
Volume (Å³/cell): 63
Formation energy (eV per atom): 0.7397
Crystal system: cubic



# 3
VASP calculation (PBE) on an optimized crystal structure of ZrBe2Rh.

Cell lengths 8.355, 8.355, 8.355 Å; angles 152.46, 152.46, 39.35 degrees
Sites, in units of the cell vectors:
Zr (0.375, 0.625, 0.750)
Zr (0.625, 0.375, 0.250)
Be (0.000, 0.000, 0.000)
Be (0.000, 0.000, 0.500)
Be (0.000, 0.500, 0.000)
Be (0.500, 0.000, 0.500)
Rh (0.125, 0.875, 0.250)
Rh (0.875, 0.125, 0.750)

## Properties
Energy relative to the lowest polymorph listed for this composition (kJ/mol of atoms): 42.93
Volume (Å³/cell): 125
Formation energy (eV per atom): 0.0103
Crystal system: tetragonal



# 4
VASP calculation (PBE) on an optimized crystal structure of Zr2BeRh2.

Cell lengths 6.177, 6.177, 4.388 Å; angles 90.00, 90.00, 90.00 degrees
Sites, in units of the cell vectors:
Zr (0.175, 0.325, 0.000)
Zr (0.325, 0.825, 0.000)
Zr (0.675, 0.175, 0.000)
Zr (0.825, 0.675, 0.000)
Be (0.000, 0.000, 0.500)
Be (0.500, 0.500, 0.500)
Rh (0.149, 0.649, 0.500)
Rh (0.351, 0.149, 0.500)
Rh (0.649, 0.851, 0.500)
Rh (0.851, 0.351, 0.500)

## Properties
Volume (Å³/cell): 167
Formation energy (eV per atom): -0.5044
Crystal system: tetragonal



# 5
VASP calculation (PBE) on an optimized crystal structure of Zr4BeRh.

Cell lengths 7.228, 7.228, 7.228 Å; angles 127.22, 127.22, 77.89 degrees
Sites, in units of the cell vectors:
Zr (0.025, 0.525, 0.830)
Zr (0.195, 0.025, 0.500)
Zr (0.305, 0.805, 0.830)
Zr (0.475, 0.305, 0.500)
Zr (0.525, 0.695, 0.500)
Zr (0.695, 0.195, 0.170)
Zr (0.805, 0.975, 0.500)
Zr (0.975, 0.475, 0.170)
Be (0.250, 0.250, 0.000)
Be (0.750, 0.750, 0.000)
Rh (0.000, 0.000, 0.000)
Rh (0.500, 0.500, 0.000)

## Properties
Energy relative to the lowest polymorph listed for this composition (kJ/mol of atoms): 9.99
Volume (Å³/cell): 232
Formation energy (eV per atom): -0.2237
Crystal system: tetragonal



# 6
VASP calculation (PBE) on an optimized crystal structure of ZrBeRh2.

Cell lengths 4.406, 4.406, 4.406 Å; angles 60.00, 60.00, 60.00 degrees
Sites, in units of the cell vectors:
Zr (0.000, 0.000, 0.000)
Be (0.250, 0.250, 0.250)
Rh (0.500, 0.500, 0.500)
Rh (0.750, 0.750, 0.750)

## Properties
Volume (Å³/cell): 60
Formation energy (eV per atom): -0.2075
Crystal system: cubic